[1]
This record from the Alexandria database describes a relaxed structure of TmPuNiHg. The functional is GGA-PBE.

It has space group F-43m (No. 216), with a = 7.134 Å, b = 7.134 Å, c = 7.134 Å, α = 90.00°, β = 90.00° and γ = 90.00°. The asymmetric unit holds Tm at (0.000, 0.000, 0.000), Pu at (0.000, 0.000, 0.500), Ni at (0.250, 0.250, 0.250) and Hg at (0.250, 0.250, 0.750).

***

[2]
This record from the Alexandria database describes a relaxed structure of YPuNiHg. The functional is GGA-PBE.

It has space group F-43m (No. 216), with a = 7.194 Å, b = 7.194 Å, c = 7.194 Å, α = 90.00°, β = 90.00° and γ = 90.00°. The asymmetric unit holds Y at (0.000, 0.000, 0.000), Pu at (0.000, 0.000, 0.500), Ni at (0.250, 0.250, 0.250) and Hg at (0.250, 0.250, 0.750).

***

[3]
This record from the Alexandria database describes a relaxed structure of Rb3NiHg. The functional is GGA-PBE.

It has space group Pm-3m (No. 221), with a = 6.430 Å, b = 6.430 Å, c = 6.430 Å, α = 90.00°, β = 90.00° and γ = 90.00°. The asymmetric unit holds Rb at (0.000, 0.000, 0.500), Ni at (0.000, 0.000, 0.000) and Hg at (0.500, 0.500, 0.500).

***

[4]
This record from the Alexandria database describes a relaxed structure of Rb2NiHg4. The functional is GGA-PBE.

It has space group I4/mmm (No. 139), with a = 5.234 Å, b = 5.234 Å, c = 18.278 Å, α = 90.00°, β = 90.00° and γ = 90.00°. The asymmetric unit holds Rb at (0.000, 0.000, 0.150), Ni at (0.000, 0.000, 0.500), Hg at (0.000, 0.000, 0.358) and Hg at (0.000, 0.500, 0.000).

***

[5]
This record from the Alexandria database describes a relaxed structure of RbNi2Hg2. The functional is GGA-PBE.

It has space group I4/mmm (No. 139), with a = 4.784 Å, b = 4.784 Å, c = 10.095 Å, α = 90.00°, β = 90.00° and γ = 90.00°. The asymmetric unit holds Rb at (0.000, 0.000, 0.000), Ni at (0.000, 0.000, 0.383) and Hg at (0.000, 0.500, 0.250).

***

[6]
This record from the Alexandria database describes a relaxed structure of Rb2NiHg2. The functional is GGA-PBE.

It has space group P4/mbm (No. 127), with a = 7.357 Å, b = 7.357 Å, c = 5.994 Å, α = 90.00°, β = 90.00° and γ = 90.00°. The asymmetric unit holds Rb at (0.172, 0.328, 0.000), Ni at (0.000, 0.000, 0.500) and Hg at (0.175, 0.675, 0.500).

***

[7]
This record from the Alexandria database describes a relaxed structure of RbNi2Hg2. The functional is GGA-PBE.

It has space group P4/mbm (No. 127), with a = 8.174 Å, b = 8.174 Å, c = 3.034 Å, α = 90.00°, β = 90.00° and γ = 90.00°. The asymmetric unit holds Rb at (0.000, 0.000, 0.000), Ni at (0.110, 0.390, 0.000) and Hg at (0.174, 0.674, 0.500).

***

[8]
This record from the Alexandria database describes a relaxed structure of RbNi3Hg. The functional is GGA-PBE.

It has space group Pm-3m (No. 221), with a = 4.700 Å, b = 4.700 Å, c = 4.700 Å, α = 90.00°, β = 90.00° and γ = 90.00°. The asymmetric unit holds Rb at (0.000, 0.000, 0.000), Ni at (0.000, 0.000, 0.500) and Hg at (0.500, 0.500, 0.500).

***

Across the entries above, final energy takes the values -0.4666; -0.5021; -0.1020; -0.1035; -0.1697; -0.1118; -0.1705; -0.1282 Ry per atom, respectively.
Across the entries above, formation enthalpy at 0 K takes the values -127; -112; 410; -134; 317; 142; 307; 1978 meV per atom, respectively.
Across the entries above, density of states at the Fermi level takes the values 11.25; 11.29; 8.07; 3.23; 4.28; 2.71; 4.35; 6.68 states/eV/f.u., respectively.